Model i:
Below is crystalline FeTcOs2 at its relaxed geometry, with properties calculated at the GGA-PBEsol level.

Properties
Crystal system: tetragonal

abc: 3.7375 3.7375 4.5787
angles: 114.09 114.09 90.00
Positions (direct):
Fe1 0.2500 0.7500 0.5000
Os1 0.0000 0.0000 0.0000
Os2 0.7500 0.2500 0.5000
Tc1 0.5000 0.5000 0.0000

***

Model ii:
Below is crystalline FeTcOs2 at its relaxed geometry, with properties calculated at the GGA-PBEsol level.

Properties
Crystal system: trigonal

abc: 2.6729 2.6729 8.7269
angles: 81.19 81.19 60.00
Last column: magnetic moment on the atom in μB.
Positions (direct):
Fe1 0.2505 0.2505 0.2485  1.60
Os1 0.9963 0.9963 0.0110  -0.03
Os2 0.7505 0.7505 0.7485  -0.07
Tc1 0.5027 0.5027 0.4920  -0.07

***

Stability check: which of them is most stable? model i.

***

Model i:
Below is crystalline TlFeOs2 at its relaxed geometry, with properties calculated at the GGA-PBEsol level.

Properties
Crystal system: tetragonal

abc: 3.8779 3.9440 3.9440
angles: 90.00 90.00 90.00
Last column: magnetic moment on the atom in μB.
Positions (direct):
Fe1 0.5000 0.0000 0.0000  2.48
Os1 0.0000 0.0000 0.5000  0.43
Os2 0.0000 0.5000 0.0000  0.43
Tl1 0.5000 0.5000 0.5000  0.01

***

Model ii:
Below is crystalline TlFeOs2 at its relaxed geometry, with properties calculated at the GGA-PBEsol level.

Properties
Crystal system: tetragonal

abc: 3.8959 3.8959 4.8069
angles: 113.91 113.91 90.00
Last column: magnetic moment on the atom in μB.
Positions (direct):
Fe1 0.0000 0.0000 0.0000  2.30
Os1 0.7500 0.2500 0.5000  -0.07
Os2 0.2500 0.7500 0.5000  -0.07
Tl1 0.5000 0.5000 0.0000  -0.01

***

Stability check: which of them is most stable? model ii.

***

Model i:
Below is crystalline FeOs2W at its relaxed geometry, with properties calculated at the GGA-PBEsol level.

Properties
Crystal system: cubic

abc: 4.2994 4.2994 4.2994
angles: 60.00 60.00 60.00
Last column: magnetic moment on the atom in μB.
Positions (direct):
Fe1 0.0000 0.0000 0.0000  2.84
Os1 0.2500 0.2500 0.2500  0.43
Os2 0.7500 0.7500 0.7500  0.43
W1 0.5000 0.5000 0.5000  -0.07

***

Model ii:
Below is crystalline FeOs2W at its relaxed geometry, with properties calculated at the GGA-PBEsol level.

Properties
Crystal system: cubic

abc: 4.2863 4.2863 4.2863
angles: 60.00 60.00 60.00
Last column: magnetic moment on the atom in μB.
Positions (direct):
Fe1 0.5000 0.5000 0.5000  2.12
Os1 0.0000 0.0000 0.0000  0.02
Os2 0.7500 0.7500 0.7500  0.27
W1 0.2500 0.2500 0.2500  -0.09

***

Model iii:
Below is crystalline FeOs2W at its relaxed geometry, with properties calculated at the GGA-PBEsol level.

Properties
Crystal system: tetragonal

abc: 3.7669 3.7900 3.7900
angles: 90.00 90.00 90.00
Positions (direct):
Os1 0.0000 0.0000 0.5000
Os2 0.0000 0.5000 0.0000
Fe1 0.5000 0.0000 0.0000
W1 0.5000 0.5000 0.5000

***

Stability check: which of them is most stable? model iii.

***

Model i:
Below is crystalline YFe2Os at its relaxed geometry, with properties calculated at the GGA-PBEsol level.

Properties
Crystal system: tetragonal

abc: 3.0056 3.0056 6.7237
angles: 90.00 90.00 90.00
Last column: magnetic moment on the atom in μB.
Positions (direct):
Fe1 0.0000 0.0000 0.0598  2.19
Fe2 0.5000 0.5000 0.2412  2.08
Os1 0.0000 0.0000 0.4406  0.13
Y1 0.5000 0.5000 0.7583  -0.19

***

Model ii:
Below is crystalline YFe2Os at its relaxed geometry, with properties calculated at the GGA-PBEsol level.

Properties
Crystal system: tetragonal

abc: 2.8445 2.8445 7.1439
angles: 90.00 90.00 90.00
Positions (direct):
Fe1 0.0000 0.0000 0.7952
Fe2 0.0000 0.0000 0.2048
Os1 0.5000 0.5000 0.0000
Y1 0.5000 0.5000 0.5000

***

Model iii:
Below is crystalline YFe2Os at its relaxed geometry, with properties calculated at the GGA-PBEsol level.

Properties
Crystal system: cubic

abc: 4.4010 4.4010 4.4010
angles: 60.00 60.00 60.00
Last column: magnetic moment on the atom in μB.
Positions (direct):
Fe1 0.0000 0.0000 0.0000  2.12
Fe2 0.7500 0.7500 0.7500  2.65
Os1 0.5000 0.5000 0.5000  0.53
Y1 0.2500 0.2500 0.2500  -0.18

***

Model iv:
Below is crystalline YFe2Os at its relaxed geometry, with properties calculated at the GGA-PBEsol level.

Properties
Crystal system: trigonal

abc: 2.7778 2.7778 9.0911
angles: 81.21 81.21 60.00
Last column: magnetic moment on the atom in μB.
Positions (direct):
Fe1 0.2407 0.2407 0.2779  2.12
Fe2 0.7593 0.7593 0.7221  2.12
Os1 0.5000 0.5000 0.5000  -0.04
Y1 0.0000 0.0000 0.0000  -0.05

***

Stability check: which of them is most stable? model i.

***

Model i:
Below is crystalline FeP3 at its relaxed geometry, with properties calculated at the GGA-PBEsol level.

Properties
Crystal system: cubic

abc: 4.6749 4.6749 4.6749
angles: 90.00 90.00 90.00
Last column: magnetic moment on the atom in μB.
Positions (direct):
Fe1 0.0000 0.0000 0.0000  1.92
Fe2 0.5000 0.5000 0.5000  1.92
P1 0.7500 0.5000 0.0000  -0.02
P2 0.2500 0.5000 0.0000  -0.02
P3 0.0000 0.7500 0.5000  -0.02
P4 0.0000 0.2500 0.5000  -0.02
P5 0.5000 0.0000 0.2500  -0.02
P6 0.5000 0.0000 0.7500  -0.02

***

Model ii:
Below is crystalline FeP3 at its relaxed geometry, with properties calculated at the GGA-PBEsol level.

Properties
Crystal system: tetragonal

abc: 3.4404 3.4404 9.3364
angles: 100.62 100.62 90.00
Positions (direct):
Fe1 0.3241 0.3241 0.6481
Fe2 0.6759 0.6759 0.3519
P1 0.0000 0.5000 0.0000
P2 0.5000 0.0000 0.0000
P3 0.2500 0.7500 0.5000
P4 0.7500 0.2500 0.5000
P5 0.1045 0.1045 0.2091
P6 0.8955 0.8955 0.7909

***

Stability check: which of them is most stable? model ii.

***

Model i:
Below is crystalline FeP2Ru at its relaxed geometry, with properties calculated at the GGA-PBEsol level.

Properties
Crystal system: monoclinic

abc: 2.9683 4.0011 4.6360
angles: 102.51 90.00 111.77
Positions (direct):
Fe1 0.2737 0.5473 0.9033
P1 0.9798 0.9596 0.8594
P2 0.7520 0.5041 0.2624
Ru1 0.4945 0.9890 0.4749

***

Model ii:
Below is crystalline FeP2Ru at its relaxed geometry, with properties calculated at the GGA-PBEsol level.

Properties
Crystal system: monoclinic

abc: 2.8397 4.6040 4.6040
angles: 106.63 106.99 106.99
Last column: magnetic moment on the atom in μB.
Positions (direct):
Fe1 0.0000 0.5000 0.5000  1.36
P1 0.0000 0.5000 0.0000  -0.01
P2 0.0000 0.0000 0.5000  -0.01
Ru1 0.0000 0.0000 0.0000  0.02

***

Stability check: which of them is most stable? model i.

***

Model i:
Below is crystalline FeP2Ru at its relaxed geometry, with properties calculated at the GGA-PBEsol level.

Properties
Crystal system: tetragonal

abc: 2.8585 2.8585 5.5838
angles: 90.00 90.00 90.00
Last column: magnetic moment on the atom in μB.
Positions (direct):
Fe1 0.5000 0.5000 0.5000  1.08
P1 0.0000 0.0000 0.7326  0.00
P2 0.0000 0.0000 0.2674  0.00
Ru1 0.5000 0.5000 0.0000  -0.02

***

Model ii:
Below is crystalline FeP2Ru at its relaxed geometry, with properties calculated at the GGA-PBEsol level.

Properties
Crystal system: cubic

abc: 4.1400 4.1400 4.1400
angles: 60.00 60.00 60.00
Last column: magnetic moment on the atom in μB.
Positions (direct):
Fe1 0.5000 0.5000 0.5000  2.37
P1 0.0000 0.0000 0.0000  0.06
P2 0.7500 0.7500 0.7500  0.03
Ru1 0.2500 0.2500 0.2500  0.55

***

Stability check: which of them is most stable? model i.

***

Model i:
Below is crystalline ScFeP2 at its relaxed geometry, with properties calculated at the GGA-PBEsol level.

Properties
Crystal system: orthorhombic

abc: 3.6808 4.3690 4.3690
angles: 72.88 65.09 65.09
Last column: magnetic moment on the atom in μB.
Positions (direct):
Fe1 0.5000 0.0000 0.0000  0.37
P1 0.1985 0.8015 0.8015  0.00
P2 0.8015 0.1985 0.1985  0.00
Sc1 0.0000 0.5000 0.5000  -0.01

***

Model ii:
Below is crystalline ScFeP2 at its relaxed geometry, with properties calculated at the GGA-PBEsol level.

Properties
Crystal system: cubic

abc: 4.2592 4.2592 4.2592
angles: 60.00 60.00 60.00
Last column: magnetic moment on the atom in μB.
Positions (direct):
Fe1 0.0000 0.0000 0.0000  1.55
P1 0.2500 0.2500 0.2500  -0.04
P2 0.7500 0.7500 0.7500  -0.04
Sc1 0.5000 0.5000 0.5000  0.07

***

Stability check: which of them is most stable? model i.

***

Model i:
Below is crystalline SrFeP2 at its relaxed geometry, with properties calculated at the GGA-PBEsol level.

Properties
Crystal system: tetragonal

abc: 4.7758 4.7758 7.7749
angles: 107.89 107.89 90.00
Positions (direct):
Sr1 0.0000 0.0000 0.0000
Sr2 0.2500 0.7500 0.5000
Fe1 0.5000 0.5000 0.0000
Fe2 0.7500 0.2500 0.5000
P1 0.6250 0.3750 0.7500
P2 0.1250 0.3750 0.7500
P3 0.6250 0.8750 0.2500
P4 0.6250 0.3750 0.2500

***

Model ii:
Below is crystalline SrFeP2 at its relaxed geometry, with properties calculated at the GGA-PBEsol level.

Properties
Crystal system: tetragonal

abc: 3.9666 3.9666 5.4326
angles: 111.41 111.41 90.00
Last column: magnetic moment on the atom in μB.
Positions (direct):
Fe1 0.2500 0.7500 0.5000  3.01
P1 0.0000 0.0000 0.0000  0.01
P2 0.7500 0.2500 0.5000  0.00
Sr1 0.5000 0.5000 0.0000  0.00

***

Stability check: which of them is most stable? model i.

***

Model i:
Below is crystalline YFeP2 at its relaxed geometry, with properties calculated at the GGA-PBEsol level.

Properties
Crystal system: orthorhombic

abc: 2.8636 3.0855 6.4653
angles: 90.00 90.00 90.00
Positions (direct):
Fe1 0.5000 0.5000 0.0000
P1 0.0000 0.0000 0.1913
P2 0.0000 0.0000 0.8087
Y1 0.5000 0.5000 0.5000

***

Model ii:
Below is crystalline YFeP2 at its relaxed geometry, with properties calculated at the GGA-PBEsol level.

Properties
Crystal system: trigonal

abc: 3.6618 3.6618 5.7892
angles: 71.56 71.56 60.00
Positions (direct):
Fe1 0.3220 0.3220 0.0340
P1 0.9495 0.9495 0.1516
P2 0.7208 0.7208 0.8374
Y1 0.5077 0.5077 0.4770

***

Stability check: which of them is most stable? model ii.

***

Model i:
Below is crystalline ZrFeP2 at its relaxed geometry, with properties calculated at the GGA-PBEsol level.

Properties
Crystal system: monoclinic

abc: 3.1514 4.5556 4.3751
angles: 104.75 111.11 90.00
Positions (direct):
Fe1 0.7311 0.1314 0.4623
P1 0.0097 0.0355 0.0194
P2 0.2572 0.7982 0.5145
Zr1 0.5019 0.5349 0.0039

***

Model ii:
Below is crystalline ZrFeP2 at its relaxed geometry, with properties calculated at the GGA-PBEsol level.

Properties
Crystal system: tetragonal

abc: 3.2566 3.2566 5.3843
angles: 90.00 90.00 90.00
Last column: magnetic moment on the atom in μB.
Positions (direct):
Fe1 0.5000 0.5000 0.8237  1.62
P1 0.0000 0.0000 0.9612  -0.02
P2 0.5000 0.5000 0.2519  -0.01
Zr1 0.0000 0.0000 0.4631  -0.05

***

Stability check: which of them is most stable? model ii.

***

Model i:
Below is crystalline FePtPb at its relaxed geometry, with properties calculated at the GGA-PBEsol level.

Properties
Crystal system: cubic

abc: 4.3812 4.3812 4.3812
angles: 60.00 60.00 60.00
Last column: magnetic moment on the atom in μB.
Positions (direct):
Fe1 0.0000 0.0000 0.0000  3.17
Pb1 0.5000 0.5000 0.5000  -0.01
Pt1 0.2500 0.2500 0.2500  0.23

***

Model ii:
Below is crystalline FePtPb at its relaxed geometry, with properties calculated at the GGA-PBEsol level.

Properties
Crystal system: trigonal

abc: 3.7034 4.1582 4.1582
angles: 120.00 90.00 90.00
Last column: magnetic moment on the atom in μB.
Positions (direct):
Fe1 0.2492 0.0000 0.0000  2.77
Pb1 0.6637 0.6667 0.3333  -0.04
Pt1 0.0871 0.3333 0.6667  0.17

***

Stability check: which of them is most stable? model i.

***

Model i:
Below is crystalline FeRhPb2 at its relaxed geometry, with properties calculated at the GGA-PBEsol level.

Properties
Crystal system: trigonal

abc: 4.0245 4.0245 6.5800
angles: 72.19 72.19 60.00
Last column: magnetic moment on the atom in μB.
Positions (direct):
Fe1 0.2183 0.2183 0.3452  2.17
Pb1 0.9725 0.9725 0.0826  -0.04
Pb2 0.7756 0.7756 0.6731  -0.03
Rh1 0.5336 0.5336 0.3992  0.34

***

Model ii:
Below is crystalline FeRhPb2 at its relaxed geometry, with properties calculated at the GGA-PBEsol level.

Properties
Crystal system: tetragonal

abc: 3.1829 3.1829 7.9949
angles: 90.00 90.00 90.01
Last column: magnetic moment on the atom in μB.
Positions (direct):
Fe1 0.5000 0.5000 0.2999  2.82
Pb1 0.0000 0.0000 0.0668  -0.07
Pb2 0.5000 0.5000 0.6856  -0.01
Rh1 0.0000 0.0000 0.4477  0.63

***

Model iii:
Below is crystalline FeRhPb2 at its relaxed geometry, with properties calculated at the GGA-PBEsol level.

Properties
Crystal system: orthorhombic

abc: 4.6651 4.6708 4.6817
angles: 120.08 90.00 119.96
Last column: magnetic moment on the atom in μB.
Positions (direct):
Fe1 0.0000 0.0000 0.5000  2.25
Pb1 0.7499 0.4997 0.7499  -0.04
Pb2 0.2501 0.5003 0.2501  -0.04
Rh1 0.5000 0.0000 0.0000  0.11

***

Stability check: which of them is most stable? model ii.